Record 1
# MnZn2Te | Alexandria | GGA-PBE | relaxed
# Electronic total energy in eV/cell: -28.05
# ρ in g/cm³: 7.2
# Formation energy (no corrections) in eV per formula unit: 0.832
data_MnZn2Te
_chemical_formula_sum 'Mn2 Zn4 Te2'
_cell_length_a 4.0770
_cell_length_b 4.0854
_cell_length_c 8.6790
_cell_angle_alpha 90.00
_cell_angle_beta 90.00
_cell_angle_gamma 90.00
_space_group_name_H-M_alt 'I m m 2'
_space_group_IT_number 44
_space_group_name_Hall 'I 2 -2'
loop_
_atom_site_label
_atom_site_fract_x
_atom_site_fract_y
_atom_site_fract_z
Mn1 0.0000 0.0000 0.0000
Zn1 0.0000 0.0000 0.5004
Zn2 0.0000 0.5000 0.2510
Te1 0.0000 0.5000 0.7498

Record 2
# Mn2ZnTe | Alexandria | GGA-PBE | relaxed
# Electronic total energy in eV/cell: -21.63
# ρ in g/cm³: 7.1
# Offset from the most stable computed form in meV per atom: 91.3
# Formation energy (no corrections) in eV per formula unit: 1.129
data_Mn2ZnTe
_chemical_formula_sum 'Mn2 Zn1 Te1'
_cell_length_a 3.0745
_cell_length_b 3.0745
_cell_length_c 7.5206
_cell_angle_alpha 90.00
_cell_angle_beta 90.00
_cell_angle_gamma 90.00
_space_group_name_H-M_alt 'P 4 m m'
_space_group_IT_number 99
_space_group_name_Hall 'P 4 -2'
loop_
_atom_site_label
_atom_site_fract_x
_atom_site_fract_y
_atom_site_fract_z
Mn1 0.0000 0.0000 0.0000
Mn2 0.5000 0.5000 0.1958
Zn1 0.5000 0.5000 0.8155
Te1 0.0000 0.0000 0.3927

Repeat the second record exactly.
# Mn2ZnTe | Alexandria | GGA-PBE | relaxed
# Electronic total energy in eV/cell: -21.63
# ρ in g/cm³: 7.1
# Offset from the most stable computed form in meV per atom: 91.3
# Formation energy (no corrections) in eV per formula unit: 1.129
data_Mn2ZnTe
_chemical_formula_sum 'Mn2 Zn1 Te1'
_cell_length_a 3.0745
_cell_length_b 3.0745
_cell_length_c 7.5206
_cell_angle_alpha 90.00
_cell_angle_beta 90.00
_cell_angle_gamma 90.00
_space_group_name_H-M_alt 'P 4 m m'
_space_group_IT_number 99
_space_group_name_Hall 'P 4 -2'
loop_
_atom_site_label
_atom_site_fract_x
_atom_site_fract_y
_atom_site_fract_z
Mn1 0.0000 0.0000 0.0000
Mn2 0.5000 0.5000 0.1958
Zn1 0.5000 0.5000 0.8155
Te1 0.0000 0.0000 0.3927